Entry 1:
Material: Bi2Sb2Te3Se3
Method: DFT, GGA-PBE
State: relaxed

Results
VASP energy, eV per atom: -3.859
Space group: R3m
E_form (uncorrected), eV/f.u.: -2.707

Unit cell a=20.858 b=20.858 c=20.858 alpha=11.71 beta=11.71 gamma=11.71
Fractional coordinates of all 10 atoms:
Se  0.998  0.998  0.998
Se  0.889  0.889  0.889
Se  0.501  0.501  0.501
Te  0.391  0.391  0.391
Te  0.111  0.111  0.111
Te  0.608  0.608  0.608
Bi  0.198  0.198  0.198
Bi  0.695  0.695  0.695
Sb  0.805  0.805  0.805
Sb  0.303  0.303  0.303

Entry 2:
Material: AcCo2Ge2P
Method: DFT, GGA-PBE
State: relaxed

Results
VASP energy, eV per atom: -5.901
Energy of formation, meV per atom: -406.8
Space group: P4/mmm

Unit cell a=4.281 b=4.281 c=6.003 alpha=90.00 beta=90.00 gamma=90.00
Fractional coordinates of all 6 atoms:
Ge  0.500  0.500  0.760
Ge  0.500  0.500  0.240
Co  0.000  0.500  0.000
Co  0.500  0.000  0.000
P  0.000  0.000  0.000
Ac  0.000  0.000  0.500

Entry 3:
Material: ZrB2OsO
Method: DFT, GGA-PBE
State: relaxed

Results
VASP energy, eV per atom: -6.902
Space group: P4/mmm
E_form (uncorrected), eV/f.u.: 3.583

Unit cell a=4.119 b=3.689 c=4.119 alpha=90.00 beta=90.00 gamma=90.00
Fractional coordinates of all 5 atoms:
O  0.000  0.000  0.000
B  0.500  0.000  0.000
B  0.000  0.000  0.500
Zr  0.500  0.500  0.500
Os  0.000  0.500  0.000

Entry 4:
Material: SmCl2
Method: DFT, GGA-PBE
State: relaxed

Results
VASP energy, eV per atom: -4.730
Space group: P4_2/mnm
E_form (uncorrected), eV/f.u.: -5.777

Unit cell a=7.067 b=7.067 c=3.534 alpha=90.00 beta=90.00 gamma=90.00
Fractional coordinates of all 6 atoms:
Cl  0.220  0.780  0.500
Cl  0.720  0.720  0.000
Cl  0.280  0.280  0.000
Cl  0.780  0.220  0.500
Sm  0.500  0.500  0.500
Sm  0.000  0.000  0.000

Entry 5:
Material: BaCrPt
Method: DFT, GGA-PBE
State: relaxed

Results
VASP energy, eV per atom: -5.818
Energy of formation, meV per atom: 44.4
Space group: P4/nmm

Unit cell a=4.519 b=4.519 c=7.382 alpha=90.00 beta=90.00 gamma=90.00
Fractional coordinates of all 6 atoms:
Cr  0.500  0.500  0.500
Cr  0.000  0.000  0.500
Ba  0.000  0.500  0.843
Ba  0.500  0.000  0.157
Pt  0.000  0.500  0.366
Pt  0.500  0.000  0.634

Entry 6:
Material: La6Pr2HoEr
Method: DFT, GGA-PBE
State: relaxed

Results
VASP energy, eV per atom: -4.713
Energy of formation, meV per atom: 113.0
Space group: C2/c

Unit cell a=9.310 b=9.152 c=9.152 alpha=114.48 beta=89.74 gamma=89.74
Fractional coordinates of all 20 atoms:
Ho  0.250  0.434  0.566
Ho  0.750  0.566  0.434
La  0.406  0.220  0.928
La  0.909  0.277  0.575
La  0.091  0.723  0.425
La  0.906  0.928  0.220
La  0.681  0.966  0.530
La  0.594  0.780  0.072
La  0.319  0.034  0.470
La  0.819  0.470  0.034
La  0.591  0.425  0.723
La  0.181  0.530  0.966
La  0.094  0.072  0.780
La  0.409  0.575  0.277
Pr  0.062  0.295  0.206
Pr  0.438  0.794  0.705
Pr  0.938  0.705  0.794
Pr  0.562  0.206  0.295
Er  0.250  0.931  0.069
Er  0.750  0.069  0.931

Entry 7:
Material: U3Sn5Se12
Method: DFT, GGA-PBE
State: relaxed

Results
VASP energy, eV per atom: -5.360
Space group: Ia-3d
E_form (uncorrected), eV/f.u.: -11.508

Unit cell a=14.558 b=14.558 c=14.558 alpha=109.47 beta=109.47 gamma=109.47
Fractional coordinates of all 80 atoms:
Se  0.416  0.141  0.586
Se  0.586  0.641  0.416
Se  0.445  0.670  0.086
Se  0.414  0.055  0.330
Se  0.330  0.775  0.416
Se  0.945  0.359  0.275
Se  0.775  0.330  0.916
Se  0.170  0.084  0.725
Se  0.359  0.945  0.775
Se  0.086  0.170  0.445
Se  0.555  0.225  0.141
Se  0.641  0.055  0.225
Se  0.141  0.416  0.086
Se  0.170  0.086  0.945
Se  0.916  0.086  0.641
Se  0.445  0.775  0.859
Se  0.416  0.275  0.330
Se  0.584  0.859  0.414
Se  0.830  0.914  0.055
Se  0.914  0.830  0.555
Se  0.641  0.586  0.916
Se  0.859  0.584  0.914
Se  0.086  0.916  0.141
Se  0.414  0.359  0.584
Se  0.725  0.584  0.170
Se  0.330  0.555  0.414
Se  0.859  0.275  0.445
Se  0.916  0.830  0.775
Se  0.141  0.725  0.555
Se  0.670  0.445  0.586
Se  0.359  0.414  0.084
Se  0.725  0.141  0.055
Se  0.225  0.670  0.084
Se  0.584  0.725  0.670
Se  0.055  0.641  0.725
Se  0.945  0.586  0.170
Se  0.555  0.330  0.914
Se  0.275  0.859  0.945
Se  0.830  0.916  0.275
Se  0.586  0.945  0.670
Se  0.670  0.225  0.584
Se  0.084  0.170  0.225
Se  0.914  0.084  0.859
Se  0.275  0.416  0.830
Se  0.084  0.914  0.359
Se  0.225  0.555  0.641
Se  0.055  0.414  0.830
Se  0.775  0.445  0.359
Sn  0.000  0.000  0.000
Sn  0.375  0.250  0.125
Sn  0.125  0.750  0.375
Sn  0.500  0.500  0.500
Sn  0.500  0.000  0.500
Sn  0.500  0.500  0.000
Sn  0.625  0.875  0.250
Sn  0.500  0.000  0.000
Sn  0.000  0.000  0.500
Sn  0.125  0.375  0.250
Sn  0.750  0.625  0.375
Sn  0.625  0.750  0.875
Sn  0.000  0.500  0.500
Sn  0.250  0.875  0.125
Sn  0.000  0.500  0.000
Sn  0.750  0.125  0.875
Sn  0.875  0.625  0.750
Sn  0.250  0.375  0.625
Sn  0.375  0.125  0.750
Sn  0.875  0.250  0.625
U  0.750  0.375  0.125
U  0.375  0.750  0.625
U  0.250  0.625  0.875
U  0.750  0.875  0.625
U  0.125  0.250  0.875
U  0.125  0.875  0.750
U  0.875  0.750  0.125
U  0.250  0.125  0.375
U  0.625  0.250  0.375
U  0.625  0.375  0.750
U  0.375  0.625  0.250
U  0.875  0.125  0.250

Entry 8:
Material: LaNd2Y3As6
Method: DFT, GGA-PBE
State: relaxed

Results
VASP energy, eV per atom: -6.684
Energy of formation, meV per atom: -1538.4
Space group: C2/m

Unit cell a=7.307 b=7.307 c=7.297 alpha=99.60 beta=99.60 gamma=119.99
Fractional coordinates of all 12 atoms:
Y  0.500  0.500  0.500
Y  0.166  0.834  0.500
Y  0.834  0.166  0.500
As  0.578  0.913  0.740
As  0.087  0.422  0.260
As  0.751  0.751  0.260
As  0.422  0.087  0.260
As  0.913  0.578  0.740
As  0.249  0.249  0.740
Nd  0.333  0.667  0.000
Nd  0.667  0.333  0.000
La  0.000  0.000  0.000

Entry 9:
Material: Sc8MnIr2
Method: DFT, GGA-PBE
State: relaxed

Results
VASP energy, eV per atom: -7.412
Energy of formation, meV per atom: -362.4
Space group: Immm

Unit cell a=4.580 b=7.487 c=7.874 alpha=118.39 beta=106.91 gamma=90.00
Fractional coordinates of all 11 atoms:
Ir  0.815  0.315  0.629
Ir  0.185  0.685  0.371
Mn  0.500  0.000  0.000
Sc  0.335  0.118  0.670
Sc  0.665  0.448  0.330
Sc  0.000  0.682  0.000
Sc  0.335  0.552  0.670
Sc  0.869  0.869  0.738
Sc  0.665  0.882  0.330
Sc  0.000  0.318  0.000
Sc  0.131  0.131  0.262

Entry 10:
Material: Nd3ZrPa2P6
Method: DFT, GGA-PBE
State: relaxed

Results
VASP energy, eV per atom: -7.628
Energy of formation, meV per atom: -1436.1
Space group: C2/m

Unit cell a=6.942 b=6.942 c=7.009 alpha=99.48 beta=99.48 gamma=120.00
Fractional coordinates of all 12 atoms:
Nd  0.833  0.167  0.500
Nd  0.500  0.500  0.500
Nd  0.167  0.833  0.500
Zr  0.000  0.000  0.000
P  0.405  0.076  0.228
P  0.924  0.595  0.772
P  0.595  0.924  0.772
P  0.748  0.748  0.232
P  0.252  0.252  0.768
P  0.076  0.405  0.228
Pa  0.666  0.334  0.000
Pa  0.334  0.666  0.000

Entry 11:
Material: RbRu3Rh
Method: DFT, GGA-PBE
State: relaxed

Results
VASP energy, eV per atom: -4.026
Energy of formation, meV per atom: 3203.8
Space group: Pm-3m

Unit cell a=4.674 b=4.674 c=4.674 alpha=90.00 beta=90.00 gamma=90.00
Fractional coordinates of all 5 atoms:
Ru  0.500  0.000  0.000
Ru  0.000  0.000  0.500
Ru  0.000  0.500  0.000
Rb  0.000  0.000  0.000
Rh  0.500  0.500  0.500

Entry 12:
Material: Sm6SiPt2Br3
Method: DFT, GGA-PBE
State: relaxed

Results
VASP energy, eV per atom: -5.371
Space group: C2/m
E_form (uncorrected), eV/f.u.: -13.615

Unit cell a=7.302 b=7.302 c=7.830 alpha=98.96 beta=98.96 gamma=119.99
Fractional coordinates of all 12 atoms:
Sm  0.728  0.728  0.204
Sm  0.930  0.591  0.796
Sm  0.591  0.930  0.796
Sm  0.409  0.070  0.204
Sm  0.272  0.272  0.796
Sm  0.070  0.409  0.204
Br  0.500  0.500  0.500
Br  0.841  0.159  0.500
Br  0.159  0.841  0.500
Pt  0.333  0.667  0.000
Pt  0.667  0.333  0.000
Si  0.000  0.000  0.000

Entry 13:
Material: ZrBiSeBr2
Method: DFT, GGA-PBE
State: relaxed

Results
VASP energy, eV per atom: -4.254
Space group: P4/mmm
E_form (uncorrected), eV/f.u.: -2.009

Unit cell a=5.391 b=5.391 c=5.329 alpha=90.00 beta=90.00 gamma=90.00
Fractional coordinates of all 5 atoms:
Bi  0.500  0.500  0.500
Br  0.000  0.500  0.000
Br  0.500  0.000  0.000
Se  0.000  0.000  0.500
Zr  0.000  0.000  0.000

Entry 14:
Material: KInP2Cl
Method: DFT, GGA-PBE
State: relaxed

Results
VASP energy, eV per atom: -3.257
Space group: P4/mmm
E_form (uncorrected), eV/f.u.: 0.219

Unit cell a=5.062 b=5.062 c=5.837 alpha=90.00 beta=90.00 gamma=90.00
Fractional coordinates of all 5 atoms:
P  0.500  0.000  0.000
P  0.000  0.500  0.000
In  0.000  0.000  0.000
K  0.500  0.500  0.500
Cl  0.000  0.000  0.500

Entry 15:
Material: La2PmTm3As6
Method: DFT, GGA-PBE
State: relaxed

Results
VASP energy, eV per atom: -6.176
Energy of formation, meV per atom: -1516.2
Space group: C2/m

Unit cell a=4.203 b=8.389 c=9.380 alpha=102.77 beta=102.95 gamma=90.00
Fractional coordinates of all 12 atoms:
As  0.669  0.073  0.338
As  0.996  0.255  0.992
As  0.663  0.593  0.326
As  0.331  0.927  0.662
As  0.337  0.407  0.674
As  0.004  0.745  0.008
La  0.834  0.668  0.668
La  0.166  0.332  0.332
Pm  0.500  0.000  0.000
Tm  0.167  0.834  0.333
Tm  0.833  0.166  0.667
Tm  0.500  0.500  0.000

Entry 16:
Material: ScMn3
Method: DFT, GGA-PBE
State: relaxed

Results
VASP energy, eV per atom: -8.203
Energy of formation, meV per atom: 257.4
Space group: I4/mmm

Unit cell a=8.435 b=8.435 c=8.435 alpha=152.76 beta=152.76 gamma=38.90
Fractional coordinates of all 8 atoms:
Sc  0.376  0.376  0.000
Sc  0.624  0.624  0.000
Mn  0.124  0.124  0.000
Mn  0.250  0.750  0.500
Mn  0.500  0.000  0.500
Mn  0.876  0.876  0.000
Mn  0.000  0.500  0.500
Mn  0.750  0.250  0.500

Entry 17:
Material: ZrZnBi2Rh
Method: DFT, GGA-PBE
State: relaxed

Results
VASP energy, eV per atom: -3.997
Energy of formation, meV per atom: 990.0
Space group: P4/mmm

Unit cell a=5.559 b=5.130 c=5.559 alpha=90.00 beta=90.00 gamma=90.00
Fractional coordinates of all 5 atoms:
Bi  0.500  0.000  0.000
Bi  0.000  0.000  0.500
Zr  0.000  0.000  0.000
Zn  0.000  0.500  0.000
Rh  0.500  0.500  0.500

Entry 18:
Material: LiMgTa
Method: DFT, GGA-PBE
State: relaxed

Results
VASP energy, eV per atom: -4.869
Energy of formation, meV per atom: 251.2
Space group: Cm

Unit cell a=5.275 b=2.943 c=7.904 alpha=90.01 beta=107.32 gamma=106.22
Fractional coordinates of all 6 atoms:
Mg  0.896  0.596  0.315
Mg  0.590  0.943  0.965
Ta  0.252  0.275  0.638
Ta  0.825  0.560  0.703
Li  0.161  0.227  0.043
Li  0.467  0.881  0.380

Entry 19:
Material: PrGa4PtRh2
Method: DFT, GGA-PBE
State: relaxed

Results
VASP energy, eV per atom: -5.374
Energy of formation, meV per atom: -670.4
Space group: R-3m

Unit cell a=4.283 b=4.283 c=9.250 alpha=76.61 beta=76.61 gamma=60.00
Fractional coordinates of all 8 atoms:
Ga  0.401  0.401  0.797
Ga  0.129  0.129  0.613
Ga  0.871  0.871  0.387
Ga  0.599  0.599  0.203
Pt  0.500  0.500  0.500
Rh  0.230  0.230  0.310
Rh  0.770  0.770  0.690
Pr  0.000  0.000  0.000

Entry 20:
Material: TlInOs2
Method: DFT, GGA-PBE
State: relaxed

Results
VASP energy, eV per atom: -6.474
Energy of formation, meV per atom: 416.9
Space group: Amm2

Unit cell a=2.996 b=2.917 c=8.886 alpha=80.51 beta=90.00 gamma=90.00
Fractional coordinates of all 4 atoms:
Os  0.000  0.923  0.030
Os  0.500  0.332  0.210
In  0.500  0.541  0.794
Tl  0.000  0.704  0.466

Number 1: M_tot 0.00 μB/f.u.. Number 2: M_tot 0.00 μB/f.u.. Number 3: M_tot 0.00 μB/f.u.. Number 4: M_tot 0.00 μB/f.u.. Number 5: M_tot 0.00 μB/f.u.. Number 6: M_tot 0.00 μB/f.u.. Number 7: M_tot 7.16 μB/f.u.. Number 8: M_tot 0.00 μB/f.u.. Number 9: M_tot 1.72 μB/f.u.. Number 10: M_tot 0.00 μB/f.u.. Number 11: M_tot 5.94 μB/f.u.. Number 12: M_tot 0.00 μB/f.u.. Number 13: M_tot 2.86 μB/f.u.. Number 14: M_tot 1.06 μB/f.u.. Number 15: M_tot 0.00 μB/f.u.. Number 16: M_tot 9.72 μB/f.u.. Number 17: M_tot 1.01 μB/f.u.. Number 18: M_tot 0.00 μB/f.u.. Number 19: M_tot 0.00 μB/f.u.. Number 20: M_tot 0.00 μB/f.u..